BaNaSb2 | GGA-PBE | optimized geometry

abc: 5.1611 9.2682 12.0428
angles: 90.00 90.00 90.00
With the nearest neighbours (Å) after each atom.
Element x y z (fractional)
Ba (0.7500, 0.8757, 0.1307)  9 Sb 3.64-3.99
Ba (0.2500, 0.1243, 0.8693)  9 Sb 3.64-3.99
Ba (0.7500, 0.3757, 0.3693)  9 Sb 3.64-3.99
Ba (0.2500, 0.6243, 0.6307)  9 Sb 3.64-3.99
Na (0.2500, 0.4941, 0.1072)  5 Sb 3.08-3.36
Na (0.2500, 0.9941, 0.3928)  5 Sb 3.08-3.36
Na (0.7500, 0.5059, 0.8928)  5 Sb 3.08-3.36
Na (0.7500, 0.0059, 0.6072)  5 Sb 3.08-3.36
Sb (0.7500, 0.8329, 0.8256)  2 Sb 2.96, 2 Na 3.08-3.14
Sb (0.2500, 0.1671, 0.1744)  2 Sb 2.96, 2 Na 3.08-3.14
Sb (0.7500, 0.3329, 0.6744)  2 Sb 2.96, 2 Na 3.08-3.14
Sb (0.2500, 0.6671, 0.3256)  2 Sb 2.96, 2 Na 3.08-3.14
Sb (0.7500, 0.7644, 0.4206)  2 Sb 2.96, 1 Na 3.17
Sb (0.2500, 0.7356, 0.9206)  2 Sb 2.96, 1 Na 3.17
Sb (0.7500, 0.2644, 0.0794)  2 Sb 2.96, 1 Na 3.17
Sb (0.2500, 0.2356, 0.5794)  2 Sb 2.96, 1 Na 3.17

Properties
The formation energy from raw total energies is -638 meV per atom. The volume comes out at 36.0 Å³/atom. As for the electronic total energy: -3.51 eV/atom. The space group is Pnma (62). As for the offset from the most stable computed form: 0 meV per atom.

***

BaNa3Sb3 | GGA-PBE | optimized geometry

abc: 8.2136 8.2136 8.2136
angles: 90.00 90.00 90.00
With the nearest neighbours (Å) after each atom.
Element x y z (fractional)
Sb (0.2500, 0.0000, 0.5000)  4 Na 2.90
Sb (0.0000, 0.5000, 0.2500)  4 Na 2.90
Sb (0.5000, 0.7500, 0.0000)  4 Na 2.90
Sb (0.7500, 0.0000, 0.5000)  4 Na 2.90
Sb (0.0000, 0.5000, 0.7500)  4 Na 2.90
Sb (0.5000, 0.2500, 0.0000)  4 Na 2.90
Ba (0.5000, 0.5000, 0.5000)  12 Na 4.59, 12 Sb 4.59
Ba (0.0000, 0.0000, 0.0000)  12 Na 4.59, 12 Sb 4.59
Na (0.0000, 0.2500, 0.5000)  4 Sb 2.90
Na (0.0000, 0.7500, 0.5000)  4 Sb 2.90
Na (0.5000, 0.0000, 0.7500)  4 Sb 2.90
Na (0.7500, 0.5000, 0.0000)  4 Sb 2.90
Na (0.5000, 0.0000, 0.2500)  4 Sb 2.90
Na (0.2500, 0.5000, 0.0000)  4 Sb 2.90

Properties
The formation energy from raw total energies is 40 meV per atom. The volume comes out at 39.6 Å³/atom. As for the electronic total energy: -2.57 eV/atom. The space group is Pm-3n (223).

***

BaNaSb2 | GGA-PBE | optimized geometry

abc: 4.9239 5.1256 5.1256
angles: 90.00 90.00 90.00
With the nearest neighbours (Å) after each atom.
Element x y z (fractional)
Sb (0.0000, 0.0000, 0.5000)  4 Ba 3.55, 4 Na 3.55, 4 Sb 3.62
Sb (0.0000, 0.5000, 0.0000)  4 Ba 3.55, 4 Na 3.55, 4 Sb 3.62
Ba (0.5000, 0.5000, 0.5000)  8 Sb 3.55, 4 Na 3.62
Na (0.5000, 0.0000, 0.0000)  8 Sb 3.55, 4 Ba 3.62

Properties
The formation energy from raw total energies is -574 meV per atom. The volume comes out at 32.3 Å³/atom. As for the electronic total energy: -3.45 eV/atom. The space group is P4/mmm (123). As for the offset from the most stable computed form: 65 meV per atom.

***

BaNa3Sb2 | GGA-PBE | optimized geometry

abc: 5.1665 9.7114 9.3343
angles: 116.70 90.00 105.43
With the nearest neighbours (Å) after each atom.
Element x y z (fractional)
Ba (0.8611, 0.7222, 0.9325)  7 Sb 3.74-3.98, 6 Na 3.83-4.03
Ba (0.1389, 0.2778, 0.0675)  7 Sb 3.74-3.98, 6 Na 3.83-4.03
Na (0.3109, 0.6218, 0.5304)  4 Sb 3.16-3.39, 3 Na 3.31-3.36
Na (0.9552, 0.9104, 0.6224)  3 Sb 3.15-3.16, 1 Na 3.41
Na (0.6261, 0.2523, 0.7531)  3 Sb 3.05-3.10, 1 Na 3.36
Na (0.3739, 0.7477, 0.2469)  3 Sb 3.05-3.10, 1 Na 3.36
Na (0.0448, 0.0896, 0.3776)  3 Sb 3.15-3.16, 1 Na 3.41
Na (0.6891, 0.3782, 0.4696)  4 Sb 3.16-3.39, 3 Na 3.31-3.36
Sb (0.4836, 0.9671, 0.8344)  1 Sb 2.86, 4 Na 3.10-3.16
Sb (0.5164, 0.0329, 0.1656)  1 Sb 2.86, 4 Na 3.10-3.16
Sb (0.7972, 0.5944, 0.2842)  6 Na 3.05-3.39
Sb (0.2028, 0.4056, 0.7158)  6 Na 3.05-3.39

Properties
The formation energy from raw total energies is -601 meV per atom. The volume comes out at 33.3 Å³/atom. As for the electronic total energy: -2.95 eV/atom. The space group is C2/m (12).

***

BaNa2ScSb | GGA-PBE | optimized geometry

abc: 5.9156 5.5330 5.9156
angles: 90.00 90.00 90.00
With the nearest neighbours (Å) after each atom.
Element x y z (fractional)
Sc (0.0000, 0.0000, 0.0000)  2 Sb 2.77, 4 Na 2.96
Sb (0.0000, 0.5000, 0.0000)  2 Sc 2.77
Ba (0.5000, 0.5000, 0.5000)  8 Na 4.05, 4 Sb 4.18
Na (0.0000, 0.0000, 0.5000)  2 Sc 2.96
Na (0.5000, 0.0000, 0.0000)  2 Sc 2.96

Properties
The formation energy from raw total energies is -14 meV per atom. The volume comes out at 38.7 Å³/atom. As for the electronic total energy: -3.02 eV/atom. The space group is P4/mmm (123).

***

Ba2NaSbSe4 | GGA-PBE | optimized geometry

abc: 8.9069 8.9069 9.0999
angles: 120.71 120.71 89.36
With the nearest neighbours (Å) after each atom.
Element x y z (fractional)
Ba (0.5000, 0.0000, 0.0000)  6 Se 3.24
Ba (0.5000, 0.0000, 0.5000)  6 Se 3.24
Ba (0.0000, 0.0000, 0.5000)  6 Se 3.31-3.34
Ba (0.5000, 0.5000, 0.0000)  6 Se 3.31-3.34
Na (0.0000, 0.5000, 0.0000)  6 Se 3.04-3.11
Na (0.0000, 0.5000, 0.5000)  6 Se 3.04-3.11
Sb (0.5000, 0.5000, 0.5000)  6 Se 2.96-3.00
Sb (0.0000, 0.0000, 0.0000)  6 Se 2.96-3.00
Se (0.2251, 0.7532, 0.9892)  1 Sb 2.96, 2 Na 3.11, 3 Ba 3.24-3.31
Se (0.7468, 0.2750, 0.5108)  1 Sb 2.96, 2 Na 3.11, 3 Ba 3.24-3.31
Se (0.2532, 0.7250, 0.4892)  1 Sb 2.96, 2 Na 3.11, 3 Ba 3.24-3.31
Se (0.7750, 0.2468, 0.0108)  1 Sb 2.96, 2 Na 3.11, 3 Ba 3.24-3.31
Se (0.7580, 0.7418, 0.9741)  2 Sb 3.00, 1 Na 3.04, 3 Ba 3.24-3.34
Se (0.7582, 0.7420, 0.5259)  2 Sb 3.00, 1 Na 3.04, 3 Ba 3.24-3.34
Se (0.2418, 0.2581, 0.4741)  2 Sb 3.00, 1 Na 3.04, 3 Ba 3.24-3.34
Se (0.2419, 0.2582, 0.0259)  2 Sb 3.00, 1 Na 3.04, 3 Ba 3.24-3.34

Properties
The formation energy from raw total energies is -1259 meV per atom. The volume comes out at 31.4 Å³/atom. As for the electronic total energy: -4.16 eV/atom. The space group is Imma (74).

***

BaNaSnSb2 | GGA-PBE | optimized geometry

abc: 6.7738 6.7653 8.2238
angles: 114.29 90.00 90.00
With the nearest neighbours (Å) after each atom.
Element x y z (fractional)
Ba (0.2275, 0.7500, 0.5000)  8 Sb 3.66-3.70, 2 Sn 4.05
Ba (0.7725, 0.2500, 0.5000)  8 Sb 3.66-3.70, 2 Sn 4.05
Na (0.5000, 0.7500, 0.0000)  4 Sb 3.24, 2 Na 3.38
Na (0.5000, 0.2500, 0.0000)  4 Sb 3.24, 2 Na 3.38
Sn (0.0000, 0.0000, 0.0000)  2 Sb 2.97
Sn (0.0000, 0.5000, 0.0000)  2 Sb 2.97
Sb (0.7243, 0.8457, 0.6913)  1 Sb 2.87, 1 Sn 2.97
Sb (0.7243, 0.6543, 0.3087)  1 Sb 2.87, 1 Sn 2.97
Sb (0.2757, 0.3457, 0.6913)  1 Sb 2.87, 1 Sn 2.97
Sb (0.2757, 0.1543, 0.3087)  1 Sb 2.87, 1 Sn 2.97

Properties
The formation energy from raw total energies is -425 meV per atom. The volume comes out at 34.4 Å³/atom. As for the electronic total energy: -3.52 eV/atom. The space group is Cmme (67).

***

BaNa2SnSb2 | GGA-PBE | optimized geometry

abc: 5.2922 8.3794 9.2343
angles: 90.00 90.00 90.00
With the nearest neighbours (Å) after each atom.
Element x y z (fractional)
Ba (0.0000, 0.0014, 0.4533)  5 Sb 3.50-3.67, 2 Sn 3.72, 1 Na 3.84
Ba (0.0000, 0.5014, 0.5467)  5 Sb 3.50-3.67, 2 Sn 3.72, 1 Na 3.84
Na (0.5000, 0.0272, 0.0733)  3 Sb 3.37-3.72, 1 Sn 3.57, 2 Na 3.67
Na (0.0000, 0.3534, 0.1531)  4 Sb 3.10-3.29
Na (0.5000, 0.5272, 0.9267)  3 Sb 3.37-3.72, 1 Sn 3.57, 2 Na 3.67
Na (0.0000, 0.8534, 0.8469)  4 Sb 3.10-3.29
Sn (0.5000, 0.1489, 0.7028)  3 Sb 3.00-3.11
Sn (0.5000, 0.6489, 0.2972)  3 Sb 3.00-3.11
Sb (0.0000, 0.2316, 0.8357)  2 Sn 3.00, 2 Na 3.10-3.17
Sb (0.5000, 0.2831, 0.3546)  2 Sn 3.11-3.41, 3 Na 3.29-3.37
Sb (0.0000, 0.7316, 0.1643)  2 Sn 3.00, 2 Na 3.10-3.17
Sb (0.5000, 0.7831, 0.6454)  2 Sn 3.11-3.41, 3 Na 3.29-3.37

Properties
The formation energy from raw total energies is -515 meV per atom. The volume comes out at 34.1 Å³/atom. As for the electronic total energy: -3.32 eV/atom. The space group is Pmc2_1 (26).

***

BaNa2SrSb | GGA-PBE | optimized geometry

abc: 6.0693 6.7752 6.0693
angles: 90.00 90.00 90.00
With the nearest neighbours (Å) after each atom.
Element x y z (fractional)
Sb (0.0000, 0.0000, 0.0000)  4 Na 3.03, 2 Ba 3.39
Na (0.0000, 0.0000, 0.5000)  2 Sb 3.03
Na (0.5000, 0.0000, 0.0000)  2 Sb 3.03
Ba (0.0000, 0.5000, 0.0000)  2 Sb 3.39
Sr (0.5000, 0.5000, 0.5000)  4 Ba 4.29, 8 Na 4.55

Properties
The formation energy from raw total energies is -188 meV per atom. The volume comes out at 49.9 Å³/atom. As for the electronic total energy: -2.26 eV/atom. The space group is P4/mmm (123).

***

BaNaSbTe3 | GGA-PBE | optimized geometry

abc: 4.7200 8.7733 11.0228
angles: 112.86 90.00 90.00
With the nearest neighbours (Å) after each atom.
Element x y z (fractional)
Ba (0.2500, 0.2777, 0.2908)  8 Te 3.51-3.90
Ba (0.7500, 0.7223, 0.7092)  8 Te 3.51-3.90
Na (0.2500, 0.1165, 0.6189)  4 Te 3.11-3.33
Na (0.7500, 0.8835, 0.3811)  4 Te 3.11-3.33
Sb (0.2500, 0.7131, 0.1257)  3 Te 2.85-3.10
Sb (0.7500, 0.2869, 0.8743)  3 Te 2.85-3.10
Te (0.7500, 0.9233, 0.0931)  2 Sb 3.10, 1 Na 3.33
Te (0.2500, 0.0767, 0.9069)  2 Sb 3.10, 1 Na 3.33
Te (0.2500, 0.7263, 0.4749)  3 Na 3.11-3.16
Te (0.7500, 0.2737, 0.5251)  3 Na 3.11-3.16
Te (0.7500, 0.4745, 0.1509)  1 Sb 2.85
Te (0.2500, 0.5255, 0.8491)  1 Sb 2.85

Properties
The formation energy from raw total energies is -824 meV per atom. The volume comes out at 35.1 Å³/atom. As for the electronic total energy: -3.62 eV/atom. The space group is P2_1/m (11).

***

BaNa2SbTe4 | GGA-PBE | optimized geometry

abc: 8.3653 7.3632 7.3632
angles: 73.11 55.39 55.39
With the nearest neighbours (Å) after each atom.
Element x y z (fractional)
Ba (0.0000, 0.0000, 0.0000)  8 Te 3.64-3.90
Na (0.5000, 0.7499, 0.2501)  4 Te 3.07
Na (0.5000, 0.2501, 0.7499)  4 Te 3.07
Sb (0.0000, 0.5000, 0.5000)  4 Te 2.88
Te (0.5986, 0.5154, 0.8861)  1 Sb 2.88, 2 Na 3.07
Te (0.4014, 0.1139, 0.4846)  1 Sb 2.88, 2 Na 3.07
Te (0.0000, 0.4846, 0.1139)  1 Sb 2.88, 2 Na 3.07
Te (0.0000, 0.8861, 0.5154)  1 Sb 2.88, 2 Na 3.07

Properties
The formation energy from raw total energies is -756 meV per atom. The volume comes out at 38.4 Å³/atom. As for the electronic total energy: -3.41 eV/atom. The space group is I-42m (121).

***

Ba2Na3TlSb4 | GGA-PBE | optimized geometry

abc: 5.1298 5.1298 12.6021
angles: 90.00 90.00 90.00
With the nearest neighbours (Å) after each atom.
Element x y z (fractional)
Ba (0.5000, 0.0000, 0.2278)  6 Na 3.84-4.28, 8 Sb 3.85-3.99, 2 Tl 4.28
Ba (0.0000, 0.5000, 0.7722)  6 Na 3.84-4.28, 8 Sb 3.85-3.99, 2 Tl 4.28
Na (0.0000, 0.0000, 0.5000)  4 Sb 3.12
Na (0.5000, 0.0000, 0.8733)  5 Sb 2.94-3.02
Na (0.0000, 0.5000, 0.1267)  5 Sb 2.94-3.02
Tl (0.5000, 0.5000, 0.5000)  4 Sb 3.12
Sb (0.5000, 0.5000, 0.0000)  4 Na 3.02
Sb (0.0000, 0.0000, 0.0000)  4 Na 3.02
Sb (0.5000, 0.0000, 0.6403)  3 Na 2.94-3.12, 2 Tl 3.12
Sb (0.0000, 0.5000, 0.3597)  3 Na 2.94-3.12, 2 Tl 3.12

Properties
The formation energy from raw total energies is -522 meV per atom. The volume comes out at 33.2 Å³/atom. As for the electronic total energy: -3.19 eV/atom. The space group is P-4m2 (115).